1.
Entry from OQMD via LeMat-Bulk: a geometry-optimized BaPaSb structure (GGA-PBE).

Values from the calculation:
**Energy relative to the lowest polymorph listed for this composition**: 0 meV/atom
**Crystal system**: cubic
**Total energy**: -4.939 eV/atom

```
data_BaPaSb
_symmetry_space_group_name_H-M 'F -4 3 m'
_symmetry_Int_Tables_number 216
_symmetry_space_group_name_Hall 'F -4 2 3'
_cell_length_a 7.739
_cell_length_b 7.739
_cell_length_c 7.739
_cell_angle_alpha 90.00
_cell_angle_beta 90.00
_cell_angle_gamma 90.00
loop_
_atom_site_label
_atom_site_fract_x
_atom_site_fract_y
_atom_site_fract_z
_atom_site_occupancy
Ba1 0.000 0.000 0.000 1
Pa1 0.000 0.000 0.500 1
Sb1 0.250 0.250 0.250 1
```


2.
Entry from OQMD via LeMat-Bulk: a geometry-optimized BaPa3Se structure (GGA-PBE).

Values from the calculation:
**Crystal system**: tetragonal
**Total energy**: -6.458 eV/atom

```
data_BaPa3Se
_symmetry_space_group_name_H-M 'P 4/m m m'
_symmetry_Int_Tables_number 123
_symmetry_space_group_name_Hall '-P 4 2'
_cell_length_a 5.461
_cell_length_b 5.461
_cell_length_c 5.452
_cell_angle_alpha 90.00
_cell_angle_beta 90.00
_cell_angle_gamma 90.00
loop_
_atom_site_label
_atom_site_fract_x
_atom_site_fract_y
_atom_site_fract_z
_atom_site_occupancy
Ba1 0.000 0.000 0.000 1
Pa1 0.000 0.500 0.500 1
Pa2 0.500 0.500 0.000 1
Se1 0.500 0.500 0.500 1
```


3.
Entry from OQMD via LeMat-Bulk: a geometry-optimized BaSmPa structure (GGA-PBE).

Values from the calculation:
**Energy relative to the lowest polymorph listed for this composition**: 0 meV/atom
**Crystal system**: cubic
**Total energy**: -4.043 eV/atom

```
data_BaSmPa
_symmetry_space_group_name_H-M 'F -4 3 m'
_symmetry_Int_Tables_number 216
_symmetry_space_group_name_Hall 'F -4 2 3'
_cell_length_a 7.814
_cell_length_b 7.814
_cell_length_c 7.814
_cell_angle_alpha 90.00
_cell_angle_beta 90.00
_cell_angle_gamma 90.00
loop_
_atom_site_label
_atom_site_fract_x
_atom_site_fract_y
_atom_site_fract_z
_atom_site_occupancy
Ba1 0.000 0.000 0.000 1
Sm1 0.250 0.250 0.250 1
Pa1 0.000 0.000 0.500 1
```


4.
Entry from OQMD via LeMat-Bulk: a geometry-optimized BaPaSn structure (GGA-PBE).

Values from the calculation:
**Energy relative to the lowest polymorph listed for this composition**: 0 meV/atom
**Crystal system**: cubic
**Total energy**: -4.693 eV/atom

```
data_BaPaSn
_symmetry_space_group_name_H-M 'F -4 3 m'
_symmetry_Int_Tables_number 216
_symmetry_space_group_name_Hall 'F -4 2 3'
_cell_length_a 7.796
_cell_length_b 7.796
_cell_length_c 7.796
_cell_angle_alpha 90.00
_cell_angle_beta 90.00
_cell_angle_gamma 90.00
loop_
_atom_site_label
_atom_site_fract_x
_atom_site_fract_y
_atom_site_fract_z
_atom_site_occupancy
Ba1 0.000 0.000 0.000 1
Pa1 0.000 0.000 0.500 1
Sn1 0.250 0.250 0.250 1
```


> What is the total energy in the fourth record?

-4.693 eV/atom